Density functional theory data (PBE with a Hubbard U) for a relaxed CoSiO3 crystal.

Output
* density: 5.2 Mg/m³
* M_tot: 3.00 μB/cell
* electronic total energy: -6.65 eV per atom

Structure (CIF):
```
data_CoSiO3
_space_group_name_H-M_alt 'P m -3 m'
_space_group_IT_number 221
_space_group_name_Hall '-P 4 2 3'
_cell_length_a 3.510
_cell_length_b 3.510
_cell_length_c 3.510
_cell_angle_alpha 90.00
_cell_angle_beta 90.00
_cell_angle_gamma 90.00
loop_
_atom_site_label
_atom_site_type_symbol
_atom_site_fract_x
_atom_site_fract_y
_atom_site_fract_z
Co1 Co 0.000 0.000 0.000
Si1 Si 0.500 0.500 0.500
O1 O 0.000 0.500 0.500
```